## Lu2ZnCo (GGA-PBE)

Data for Lu2ZnCo after structural relaxation.

Values from the calculation:
Space-group type: Fm-3m, No. 225
Formation enthalpy at 0 K: -0.287 eV/atom
Crystal system: cubic
Total energy: -18.57 eV per formula unit

a b c (Å): 4.759 4.759 4.759
angles (deg): 60.00 60.00 60.00
Sites, in units of the cell vectors:
Lu 0.250 0.250 0.250
Lu 0.750 0.750 0.750
Zn 0.000 0.000 0.000
Co 0.500 0.500 0.500

## LuZrCo4 (GGA-PBE)

Data for LuZrCo4 after structural relaxation.

Values from the calculation:
Space-group type: F-43m, No. 216
Formation enthalpy at 0 K: -0.295 eV/atom
Crystal system: cubic
Total energy: -43.26 eV per formula unit

a b c (Å): 4.940 4.940 4.940
angles (deg): 60.00 60.00 60.00
Sites, in units of the cell vectors:
Lu 0.000 0.000 0.000
Zr 0.750 0.750 0.750
Co 0.375 0.375 0.375
Co 0.375 0.375 0.876
Co 0.375 0.876 0.375
Co 0.876 0.375 0.375

## Lu2ZrCo (GGA-PBE)

Data for Lu2ZrCo after structural relaxation.

Values from the calculation:
Space-group type: P4/mmm, No. 123
Formation enthalpy at 0 K: -0.088 eV/atom
Crystal system: tetragonal
Total energy: -25.05 eV per formula unit

a b c (Å): 3.301 3.301 7.975
angles (deg): 90.00 90.00 90.00
Sites, in units of the cell vectors:
Lu 0.000 0.000 0.199
Lu 0.000 0.000 0.801
Zr 0.500 0.500 0.500
Co 0.500 0.500 0.000

## Lu2ZrCo (GGA-PBE)

Data for Lu2ZrCo after structural relaxation.

Values from the calculation:
Space-group type: R-3m, No. 166
Formation enthalpy at 0 K: 0.265 eV/atom
Crystal system: trigonal
Total energy: -23.64 eV per formula unit

a b c (Å): 10.245 10.245 10.245
angles (deg): 18.26 18.26 18.26
Sites, in units of the cell vectors:
Lu 0.105 0.105 0.105
Lu 0.895 0.895 0.895
Zr 0.000 0.000 0.000
Co 0.500 0.500 0.500

| no. | density (g/cm³) |
| --- | --- |
| 1 | 10.337 |
| 2 | 9.778 |
| 3 | 9.556 |
| 4 | 9.004 |